VASP calculation (PBE) on a geometry-optimized Tb3Sm structure.

Cell and atoms, written as POSCAR:
```
Tb3Sm
1.0
3.6413 0.0000 0.0000
0.0000 11.4574 0.0000
0.0000 0.0000 6.2900
Tb Sm
6 2
direct
0.0000 0.0000 0.0000
0.0000 0.2509 0.6685
0.0000 0.7491 0.6685
0.5000 0.2491 0.1685
0.5000 0.5000 0.5000
0.5000 0.7509 0.1685
0.0000 0.5000 0.0014
0.5000 0.0000 0.5014
```

Properties
SG ... Imm2
Polymorph energy (0 for the lowest one) ... 0.005 eV/atom
Formation energy from the elements ... 1.8 kJ/mol of atoms
Size of the total moment ... 0.00 μB/f.u.

***

VASP calculation (PBE) on a geometry-optimized NdCdP2 structure.

Cell and atoms, written as POSCAR:
```
NdCdP2
1.0
4.3098 0.0000 0.0000
-2.1549 3.7324 0.0000
0.0000 0.0000 23.5975
Nd Cd P
3 3 6
direct
0.0000 0.0000 0.0000
0.3333 0.6667 0.6667
0.6667 0.3333 0.3333
0.0000 0.0000 0.5000
0.3333 0.6667 0.1667
0.6667 0.3333 0.8333
0.0000 0.0000 0.3979
0.0000 0.0000 0.6021
0.3333 0.6667 0.0646
0.3333 0.6667 0.2687
0.6667 0.3333 0.7313
0.6667 0.3333 0.9354
```

Properties
SG ... R-3m
Formation energy from the elements ... -30.4 kJ/mol of atoms
Size of the total moment ... 0.00 μB/f.u.

***

VASP calculation (PBE) on a geometry-optimized K2HoGaO4 structure.

Cell and atoms, written as POSCAR:
```
K2HoGaO4
1.0
0.0000 6.2539 11.0083
2.7765 0.0000 11.0083
2.7765 6.2539 0.0000
K Ho Ga O
4 2 2 8
direct
0.0689 0.0689 0.6811
0.3189 0.3189 0.9311
0.6811 0.6811 0.0689
0.9311 0.9311 0.3189
0.1250 0.1250 0.1250
0.8750 0.8750 0.8750
0.3750 0.3750 0.3750
0.6250 0.6250 0.6250
0.0208 0.6497 0.5423
0.2872 0.5423 0.6497
0.3503 0.9792 0.7128
0.4577 0.7128 0.9792
0.5423 0.2872 0.0208
0.6497 0.0208 0.2872
0.7128 0.4577 0.3503
0.9792 0.3503 0.4577
```

Properties
SG ... Fddd
Size of the total moment ... 0.00 μB/f.u.
E ... -89.82 eV for the cell shown

***

VASP calculation (PBE) on a geometry-optimized Tl3InCl6 structure.

Cell and atoms, written as POSCAR:
```
Tl3InCl6
1.0
7.3625 0.0000 0.0000
0.0000 8.1320 0.0000
-6.9324 0.0000 10.7863
Tl In Cl
6 2 12
direct
0.0000 0.0000 0.0000
0.0000 0.5000 0.5000
0.2114 0.0716 0.7383
0.2114 0.4284 0.2383
0.7886 0.5716 0.7617
0.7886 0.9284 0.2617
0.5000 0.0000 0.5000
0.5000 0.5000 0.0000
0.1724 0.1648 0.4610
0.1724 0.3352 0.9610
0.2709 0.7368 0.4306
0.2709 0.7632 0.9306
0.3924 0.0533 0.2768
0.3924 0.4467 0.7768
0.6076 0.5533 0.2232
0.6076 0.9467 0.7232
0.7291 0.2368 0.0694
0.7291 0.2632 0.5694
0.8276 0.6648 0.0390
0.8276 0.8352 0.5390
```

Properties
SG ... P2_1/c
Size of the total moment ... 0.00 μB/f.u.
E ... -63.41 eV for the cell shown

***

VASP calculation (PBE) on a geometry-optimized Co2Mo structure.

Cell and atoms, written as POSCAR:
```
Co2Mo
1.0
2.6071 0.0000 0.0000
0.0000 13.4594 0.0000
0.0000 0.0000 4.1589
Co Mo
8 4
direct
0.0000 0.0563 0.2500
0.0000 0.2795 0.7500
0.0000 0.7205 0.2500
0.0000 0.9437 0.7500
0.5000 0.2205 0.2500
0.5000 0.4437 0.7500
0.5000 0.5563 0.2500
0.5000 0.7795 0.7500
0.0000 0.3889 0.2500
0.0000 0.6111 0.7500
0.5000 0.1111 0.7500
0.5000 0.8889 0.2500
```

Properties
SG ... Cmcm
Formation energy from the elements ... 1.4 kJ/mol of atoms
Size of the total moment ... 0.81 μB/f.u.

***

VASP calculation (PBE) on a geometry-optimized GdCdBi2 structure.

Cell and atoms, written as POSCAR:
```
GdCdBi2
1.0
4.6795 0.0000 0.0000
-2.3398 4.0526 0.0000
0.0000 0.0000 20.1189
Gd Cd Bi
3 3 6
direct
0.0000 0.0000 0.0000
0.3333 0.6667 0.6667
0.6667 0.3333 0.3333
0.0000 0.0000 0.5000
0.3333 0.6667 0.1667
0.6667 0.3333 0.8333
0.0000 0.0000 0.2483
0.0000 0.0000 0.7517
0.3333 0.6667 0.4183
0.3333 0.6667 0.9150
0.6667 0.3333 0.0850
0.6667 0.3333 0.5817
```

Properties
SG ... R-3m
Formation energy from the elements ... -22.4 kJ/mol of atoms
Size of the total moment ... 6.90 μB/f.u.

***

VASP calculation (PBE) on a geometry-optimized ScZnC structure.

Cell and atoms, written as POSCAR:
```
ScZnC
1.0
3.9153 0.0000 0.0000
0.0000 3.9153 0.0000
0.0000 0.0000 11.2513
Sc Zn C
4 4 4
direct
0.0000 0.0000 0.1229
0.0000 0.0000 0.8771
0.5000 0.5000 0.3771
0.5000 0.5000 0.6229
0.0000 0.0000 0.3847
0.0000 0.0000 0.6153
0.5000 0.5000 0.1153
0.5000 0.5000 0.8847
0.0000 0.5000 0.0000
0.0000 0.5000 0.5000
0.5000 0.0000 0.0000
0.5000 0.0000 0.5000
```

Properties
SG ... I4/mmm
Formation energy from the elements ... 33.6 kJ/mol of atoms
Size of the total moment ... 0.00 μB/f.u.

***

VASP calculation (PBE) on a geometry-optimized HfZn4Ni structure.

Cell and atoms, written as POSCAR:
```
HfZn4Ni
1.0
0.0000 3.5591 3.5591
3.5591 0.0000 3.5591
3.5591 3.5591 0.0000
Hf Zn Ni
1 4 1
direct
0.0000 0.0000 0.0000
0.3751 0.3751 0.3751
0.3751 0.3751 0.8747
0.3751 0.8747 0.3751
0.8747 0.3751 0.3751
0.7500 0.7500 0.7500
```

Properties
SG ... F-43m
Polymorph energy (0 for the lowest one) ... 0.000 eV/atom
Formation energy from the elements ... -3.0 kJ/mol of atoms
Size of the total moment ... 0.81 μB/f.u.

***

Question: Which value of size of the total moment does entry 1 give?
Answer: 0.00 μB/f.u.